# 1
Entry from Alexandria: a relaxed structure of CeCuSnHg (PBE).

```
CeCuSnHg
1.0
5.047 0.000 0.000
2.524 4.371 0.000
2.524 1.457 4.121
Cu Hg Ce Sn
1 1 1 1
direct
0.500 0.500 0.500
0.000 0.000 0.000
0.750 0.750 0.750
0.250 0.250 0.250
```

Calculated values
Energy relative to the elements ... -0.249 eV per atom
Energy ... -0.14085 Ha/atom
Density of states at the Fermi level ... 6.39 states/eV per cell
Total magnetization ... 0.76 Bohr magnetons per cell


# 2
Entry from Alexandria: a relaxed structure of TlCd6Hg5 (PBE).

```
TlCd6Hg5
1.0
9.147 0.000 3.111
4.573 5.324 1.555
6.041 0.000 8.154
Tl Hg Cd
1 5 6
direct
0.000 0.000 0.000
0.661 0.678 0.500
0.332 0.337 0.000
0.000 0.000 0.500
0.668 0.663 0.000
0.339 0.322 0.500
0.827 0.349 0.255
0.824 0.349 0.745
0.514 0.000 0.743
0.486 0.000 0.257
0.176 0.651 0.255
0.173 0.651 0.745
```

Calculated values
Energy relative to the elements ... 0.020 eV per atom
Energy ... -0.02795 Ha/atom
Density of states at the Fermi level ... 3.88 states/eV per cell
Total magnetization ... 0.00 Bohr magnetons per cell


# 3
Entry from Alexandria: a relaxed structure of P2PbO (PBE).

```
P2PbO
1.0
-2.789 2.573 -3.300
0.190 -3.884 -3.189
-6.482 -3.003 -0.695
Pb P O
2 4 2
direct
0.000 0.000 0.000
0.750 0.250 0.500
0.375 0.125 0.250
0.375 0.625 0.250
0.375 0.625 0.750
0.875 0.625 0.750
0.500 0.500 0.000
0.250 0.750 0.500
```

Calculated values
Energy ... -0.17642 Ha/atom
Density of states at the Fermi level ... 2.89 states/eV per cell
Energy above the most stable polymorph in this dataset ... 0.0 kJ per mole of atoms
Energy relative to the elements, uncorrected ... 0.071 eV per atom
Total magnetization ... 0.00 Bohr magnetons per cell


Among the records above, which one has the lowest density of states at the Fermi level? P2PbO


Which value of density of states at the Fermi level does entry 2 give? 3.88 states/eV per cell


Which of these has the highest energy? TlCd6Hg5


What is the energy in the first record? -0.14085 Ha/atom